Here is crystalline La2TbSn5Pb2 at its relaxed geometry from OQMD via LeMat-Bulk. Energies are from PBE.

Cell lengths 13.3485, 13.3485, 4.7671 Å; angles 90.00, 90.00, 160.29 degrees
Atoms (fractional coordinates):
Pb 0.0946 0.9054 0.5000
Pb 0.9054 0.0946 0.5000
Sn 0.4084 0.5916 0.0000
Sn 0.5916 0.4084 0.0000
Sn 0.2885 0.7115 0.5000
Sn 0.7115 0.2885 0.5000
Sn 0.5000 0.5000 0.5000
Tb 0.0000 0.0000 0.0000
La 0.1856 0.8144 0.0000
La 0.8144 0.1856 0.0000

Summary:
ΔE to the lowest computed polymorph = 0.000 eV per atom
raw total energy = -47.5 eV per cell